Material: LuZnPtAu
Method: DFT, PBE
State: optimized geometry

Computed properties:
The spin magnetization comes out at 0.0 μB per formula unit. The energy of formation from the pure elements comes out at -0.772 eV per atom. Its mass density is 14.3 g cm⁻³. The uncorrected energy is -72.8 eV per cell.

Cell lengths 6.641, 6.641, 6.641 Å; angles 90.00, 90.00, 90.00 degrees
Space group F-43m (No. 216)
One atom of each set of equivalent atoms:
Lu  0.000  0.000  0.000 x4
Zn  0.000  0.000  0.500 x4
Pt  0.250  0.250  0.750 x4
Au  0.250  0.250  0.250 x4